<1>
VASP calculation (PBE) on a relaxed CaHoAlCd crystal.

abc: 3.6267 3.6267 7.7651
angles: 90.00 90.00 90.00
With the nearest neighbours (Å) after each atom.
Sites, in units of the cell vectors:
Ca  0.5000  0.5000  0.5987  4 Al 3.23, 4 Cd 3.29
Ho  0.5000  0.5000  0.1184  4 Al 3.11, 4 Cd 3.23
Al  0.0000  0.0000  0.3460  4 Ho 3.11, 4 Ca 3.23
Cd  0.0000  0.0000  0.8649  4 Ho 3.23, 4 Ca 3.29



<2>
VASP calculation (PBE) on a relaxed CaHoAlCd crystal.

abc: 5.2464 5.2464 5.2464
angles: 60.00 60.00 60.00
With the nearest neighbours (Å) after each atom.
Sites, in units of the cell vectors:
Ca  0.0000  0.0000  0.0000  4 Al 3.21, 4 Cd 3.21
Al  0.2500  0.2500  0.2500  4 Ho 3.21, 4 Ca 3.21
Ho  0.5000  0.5000  0.5000  4 Cd 3.21, 4 Al 3.21
Cd  0.7500  0.7500  0.7500  4 Ca 3.21, 4 Ho 3.21



Which structure is the most stable? The one labeled <1>.



<1>
VASP calculation (PBE) on a relaxed CaYAlCd crystal.

abc: 3.6439 3.6439 7.7763
angles: 90.00 90.00 90.00
With the nearest neighbours (Å) after each atom.
Sites, in units of the cell vectors:
Ca  0.5000  0.5000  0.5989  4 Al 3.23, 4 Cd 3.29
Y  0.5000  0.5000  0.1185  4 Al 3.14, 4 Cd 3.26
Al  0.0000  0.0000  0.3482  4 Y 3.14, 4 Ca 3.23
Cd  0.0000  0.0000  0.8623  4 Y 3.26, 4 Ca 3.29, 4 Cd 3.64



<2>
VASP calculation (PBE) on a relaxed CaYAlCd crystal.

abc: 5.2645 5.2645 5.2645
angles: 60.00 60.00 60.00
With the nearest neighbours (Å) after each atom.
Sites, in units of the cell vectors:
Y  0.7500  0.7500  0.7500  4 Cd 3.22, 4 Al 3.22
Ca  0.2500  0.2500  0.2500  4 Cd 3.22, 4 Al 3.22
Al  0.5000  0.5000  0.5000  4 Y 3.22, 4 Ca 3.22
Cd  0.0000  0.0000  0.0000  4 Ca 3.22, 4 Y 3.22



Which structure is the most stable? The one labeled <1>.



<1>
VASP calculation (PBE) on a relaxed Ca3CeAl8 crystal.

abc: 5.6694 5.6694 9.1915
angles: 90.00 90.00 120.00
With the nearest neighbours (Å) after each atom.
Sites, in units of the cell vectors:
Ca  0.6667  0.3333  0.4327  12 Al 3.29-3.33, 1 Ca 3.38, 3 Ce 3.50
Ca  0.6667  0.3333  0.0651  12 Al 3.31-3.33, 4 Ca 3.38-3.49
Ca  0.0000  0.0000  0.9322  12 Al 3.30-3.34, 1 Ce 3.35, 3 Ca 3.49
Ce  0.0000  0.0000  0.5674  12 Al 3.28-3.33, 4 Ca 3.35-3.50
Al  0.3333  0.6667  0.5003  6 Al 2.82-2.84
Al  0.3333  0.6667  0.0053  6 Al 2.82-2.90
Al  0.5037  0.0075  0.7475  6 Al 2.77-2.90
Al  0.5037  0.4963  0.7475  6 Al 2.77-2.90
Al  0.9925  0.4963  0.7475  6 Al 2.77-2.90
Al  0.1620  0.3241  0.2515  6 Al 2.76-2.91
Al  0.1620  0.8380  0.2515  6 Al 2.76-2.91
Al  0.6759  0.8380  0.2515  6 Al 2.76-2.91



<2>
VASP calculation (PBE) on a relaxed Ca3CeAl8 crystal.

abc: 5.6412 5.6412 9.8338
angles: 73.33 73.33 60.00
With the nearest neighbours (Å) after each atom.
Sites, in units of the cell vectors:
Ca  0.3749  0.3749  0.8752  12 Al 3.31-3.34, 4 Ca 3.46-3.49
Ca  0.9998  0.9998  0.0005  12 Al 3.31-3.35, 3 Ca 3.46, 1 Ce 3.48
Ca  0.5003  0.5003  0.4992  12 Al 3.30-3.31, 3 Ce 3.45, 1 Ca 3.49
Ce  0.8749  0.8749  0.3754  12 Al 3.30-3.31, 4 Ca 3.45-3.48
Al  0.9358  0.4375  0.1893  6 Al 2.81-2.85
Al  0.4407  0.9367  0.6860  6 Al 2.80-2.84
Al  0.4375  0.4375  0.1893  6 Al 2.81-2.85
Al  0.9367  0.9367  0.6860  6 Al 2.80-2.84
Al  0.1876  0.1876  0.4372  6 Al 2.82-2.83
Al  0.6878  0.6878  0.9367  6 Al 2.83-2.85
Al  0.4375  0.9358  0.1893  6 Al 2.81-2.85
Al  0.9367  0.4407  0.6860  6 Al 2.80-2.84



Which structure is the most stable? The one labeled <2>.